CsTbErTe3 | OQMD | PBE | relaxed; E = -53.527 eV per cell
1.0
2.3746 -8.7677 0.0000
2.3746 8.7677 0.0000
0.0000 0.0000 11.8227
Cs Er Tb Te
2 2 2 6
Cartesian
2.3746 4.4596 2.9557
2.3746 -4.4596 8.8670
2.3746 0.0000 0.0000
2.3746 0.0000 5.9113
2.3746 -8.1923 2.9557
2.3746 8.1923 8.8670
2.3746 -6.6850 0.4415
2.3746 -1.1610 2.9557
2.3746 -6.6850 5.4698
2.3746 6.6850 6.3528
2.3746 1.1610 8.8670
2.3746 6.6850 11.3812